# ScOs2 (PBE, relaxed)
# **Energy of formation**: -0.033 eV/atom
# **DOS(E_F)**: 0.97 states/eV per atom
# **DFT total energy**: -115.559 eV/cell
data_ScOs2
_cell_length_a 5.409
_cell_length_b 4.319
_cell_length_c 8.365
_cell_angle_alpha 90.00
_cell_angle_beta 90.00
_cell_angle_gamma 90.00
_symmetry_space_group_name_H-M 'P n m a'
_symmetry_Int_Tables_number 62
_symmetry_space_group_name_Hall '-P 2ac 2n'
loop_
_atom_site_label
_atom_site_fract_x
_atom_site_fract_y
_atom_site_fract_z
Sc1 0.076 0.250 0.109
Os1 0.066 0.250 0.438
Os2 0.177 0.250 0.741

# Sc3Os4 (PBE, relaxed)
# **Energy of formation**: -0.143 eV/atom
# **DOS(E_F)**: 0.56 states/eV per atom
# **DFT total energy**: -129.823 eV/cell
# **Excess energy over the best structure of this formula in the dataset**: 0 meV per atom
data_Sc3Os4
_cell_length_a 2.879
_cell_length_b 2.879
_cell_length_c 29.297
_cell_angle_alpha 90.00
_cell_angle_beta 90.00
_cell_angle_gamma 90.00
_symmetry_space_group_name_H-M 'I 4/m m m'
_symmetry_Int_Tables_number 139
_symmetry_space_group_name_Hall '-I 4 2'
loop_
_atom_site_label
_atom_site_fract_x
_atom_site_fract_y
_atom_site_fract_z
Sc1 0.000 0.000 0.000
Sc2 0.000 0.000 0.300
Os1 0.000 0.000 0.131
Os2 0.000 0.000 0.426

# Sc5Os (PBE, relaxed)
# **Energy of formation**: -0.096 eV/atom
# **DOS(E_F)**: 1.08 states/eV per atom
# **DFT total energy**: -86.924 eV/cell
# **Excess energy over the best structure of this formula in the dataset**: 98 meV per atom
data_Sc5Os
_cell_length_a 4.904
_cell_length_b 3.463
_cell_length_c 15.139
_cell_angle_alpha 90.00
_cell_angle_beta 90.00
_cell_angle_gamma 90.00
_symmetry_space_group_name_H-M 'A m m 2'
_symmetry_Int_Tables_number 38
_symmetry_space_group_name_Hall 'A 2 -2'
loop_
_atom_site_label
_atom_site_fract_x
_atom_site_fract_y
_atom_site_fract_z
Sc1 0.000 0.000 0.000
Sc2 0.000 0.000 0.284
Sc3 0.500 0.000 0.121
Sc4 0.500 0.000 0.444
Sc5 0.500 0.000 0.776
Os1 0.000 0.000 0.644

# Sc5Os3 (PBE, relaxed)
# **Energy of formation**: -0.315 eV/atom
# **DOS(E_F)**: 0.80 states/eV per atom
# **DFT total energy**: -135.739 eV/cell
# **Excess energy over the best structure of this formula in the dataset**: 83 meV per atom
data_Sc5Os3
_cell_length_a 7.8123
_cell_length_b 7.8123
_cell_length_c 5.7799
_cell_angle_alpha 90.00
_cell_angle_beta 90.00
_cell_angle_gamma 120.00
_symmetry_space_group_name_H-M 'P 63/m c m'
_symmetry_Int_Tables_number 193
_symmetry_space_group_name_Hall '-P 6c 2'
loop_
_atom_site_label
_atom_site_fract_x
_atom_site_fract_y
_atom_site_fract_z
Sc1 0.0000 0.2593 0.2500
Sc2 0.3333 0.6667 0.0000
Os1 0.0000 0.3966 0.7500

Which of these has the highest DOS(E_F)?
Sc5Os

DFT total energy of number 4 (Sc5Os3)?
-135.739 eV/cell

Look up the DOS(E_F) of the second one.
0.56 states/eV per atom

Look up the DFT total energy of the second one.
-129.823 eV/cell